# LiMgCr2 | Alexandria via LeMat-Bulk | PBE | relaxed
# Energy of formation in eV/f.u.: 2.090
# Fermi-level density of states in states/eV per cell: 4.61
data_LiMgCr2
_chemical_formula_sum 'Li1 Mg1 Cr2'
_space_group_name_H-M_alt 'P 1'
_space_group_IT_number 1
_space_group_name_Hall 'P 1'
_cell_length_a 4.5819
_cell_length_b 3.4215
_cell_length_c 3.4215
_cell_angle_alpha 90.00
_cell_angle_beta 90.00
_cell_angle_gamma 90.00
loop_
_atom_site_label
_atom_site_fract_x
_atom_site_fract_y
_atom_site_fract_z
_atom_site_occupancy
Mg1 0.5000 0.0000 0.5000 1
Cr1 0.0000 0.5000 0.5000 1
Cr2 0.0000 0.0000 0.0000 1
Li1 0.5000 0.5000 0.0000 1